[1]
# NaAl6Ag6 (PBE-GGA, optimized geometry)
data_NaAl6Ag6
_chemical_formula_sum 'Na1 Al6 Ag6'
_cell_length_a 5.4294
_cell_length_b 7.0968
_cell_length_c 7.0968
_cell_angle_alpha 80.11
_cell_angle_beta 67.51
_cell_angle_gamma 67.51
_space_group_name_H-M_alt 'P 1'
_space_group_IT_number 1
_space_group_name_Hall 'P 1'
loop_
_atom_site_label
_atom_site_fract_x
_atom_site_fract_y
_atom_site_fract_z
Na1 0.0000 0.0000 0.0000
Al1 0.0000 0.5000 0.0000
Al2 0.5000 0.5000 0.0000
Al3 0.0000 0.0000 0.5000
Al4 0.5000 0.0000 0.5000
Al5 0.5000 0.7691 0.2309
Al6 0.5000 0.2309 0.7691
Ag1 0.3437 0.6563 0.6563
Ag2 0.6563 0.3437 0.3437
Ag3 0.0000 0.3334 0.6666
Ag4 0.0000 0.6666 0.3334
Ag5 0.3071 0.1929 0.1929
Ag6 0.6929 0.8071 0.8071
# Symmetry   No. 71
# V   17.95 Å³/atom
# Magnetization   0.000 μB/atom
# Energy   -3.19 eV per atom

[2]
# NaAlAg (PBE-GGA, optimized geometry)
data_NaAlAg
_chemical_formula_sum 'Na1 Al1 Ag1'
_cell_length_a 3.0473
_cell_length_b 3.0473
_cell_length_c 6.9445
_cell_angle_alpha 102.67
_cell_angle_beta 102.67
_cell_angle_gamma 90.00
_space_group_name_H-M_alt 'P 1'
_space_group_IT_number 1
_space_group_name_Hall 'P 1'
loop_
_atom_site_label
_atom_site_fract_x
_atom_site_fract_y
_atom_site_fract_z
Na1 0.9989 0.9989 0.9977
Al1 0.6853 0.6853 0.3706
Ag1 0.3158 0.3158 0.6317
# Symmetry   No. 107
# V   20.43 Å³/atom
# Magnetization   0.000 μB/atom
# Energy   -2.59 eV per atom

[3]
# NaAlAg (PBE-GGA, optimized geometry)
data_NaAlAg
_chemical_formula_sum 'Na1 Al1 Ag1'
_cell_length_a 3.0224
_cell_length_b 4.8148
_cell_length_c 4.8148
_cell_angle_alpha 120.00
_cell_angle_beta 90.00
_cell_angle_gamma 90.00
_space_group_name_H-M_alt 'P 1'
_space_group_IT_number 1
_space_group_name_Hall 'P 1'
loop_
_atom_site_label
_atom_site_fract_x
_atom_site_fract_y
_atom_site_fract_z
Na1 0.6664 0.3333 0.6667
Al1 0.1681 0.6667 0.3333
Ag1 0.1655 0.0000 0.0000
# Symmetry   No. 187
# V   20.23 Å³/atom
# Magnetization   0.000 μB/atom
# Energy   -2.59 eV per atom

[4]
# NaAlAg4 (PBE-GGA, optimized geometry)
data_NaAlAg4
_chemical_formula_sum 'Na2 Al2 Ag8'
_cell_length_a 3.9807
_cell_length_b 7.3402
_cell_length_c 8.1855
_cell_angle_alpha 90.00
_cell_angle_beta 90.00
_cell_angle_gamma 90.00
_space_group_name_H-M_alt 'P 1'
_space_group_IT_number 1
_space_group_name_Hall 'P 1'
loop_
_atom_site_label
_atom_site_fract_x
_atom_site_fract_y
_atom_site_fract_z
Na1 0.0000 0.6298 0.7500
Na2 0.0000 0.3702 0.2500
Al1 0.0000 0.2234 0.7500
Al2 0.0000 0.7766 0.2500
Ag1 0.0000 0.0000 0.5000
Ag2 0.0000 0.0000 0.0000
Ag3 0.5000 0.9492 0.7500
Ag4 0.5000 0.0508 0.2500
Ag5 0.5000 0.6892 0.0517
Ag6 0.5000 0.3108 0.9483
Ag7 0.5000 0.6892 0.4483
Ag8 0.5000 0.3108 0.5517
# Symmetry   No. 51
# V   19.93 Å³/atom
# Energy relative to the lowest polymorph listed for this composition   0 kJ/mol of formula units
# Magnetization   0.000 μB/atom

[5]
# Na3AlAg (PBE-GGA, optimized geometry)
data_Na3AlAg
_chemical_formula_sum 'Na3 Al1 Ag1'
_cell_length_a 5.6993
_cell_length_b 5.6993
_cell_length_c 5.6993
_cell_angle_alpha 90.00
_cell_angle_beta 90.00
_cell_angle_gamma 90.00
_space_group_name_H-M_alt 'P 1'
_space_group_IT_number 1
_space_group_name_Hall 'P 1'
loop_
_atom_site_label
_atom_site_fract_x
_atom_site_fract_y
_atom_site_fract_z
Na1 0.0000 0.5000 0.0000
Na2 0.0000 0.0000 0.5000
Na3 0.5000 0.0000 0.0000
Al1 0.0000 0.0000 0.0000
Ag1 0.5000 0.5000 0.5000
# Symmetry   No. 221
# V   37.02 Å³/atom
# Energy relative to the lowest polymorph listed for this composition   75 kJ/mol of formula units
# Magnetization   0.000 μB/atom

[6]
# NaAlAg (PBE-GGA, optimized geometry)
data_NaAlAg
_chemical_formula_sum 'Na2 Al2 Ag2'
_cell_length_a 5.5525
_cell_length_b 5.5525
_cell_length_c 5.5525
_cell_angle_alpha 92.10
_cell_angle_beta 116.33
_cell_angle_gamma 121.32
_space_group_name_H-M_alt 'P 1'
_space_group_IT_number 1
_space_group_name_Hall 'P 1'
loop_
_atom_site_label
_atom_site_fract_x
_atom_site_fract_y
_atom_site_fract_z
Na1 0.2500 0.1282 0.3782
Na2 0.7500 0.8718 0.6218
Al1 0.5000 0.0000 0.0000
Al2 0.0000 0.5000 0.0000
Ag1 0.0000 0.5000 0.5000
Ag2 0.5000 0.5000 0.0000
# Symmetry   No. 74
# V   20.47 Å³/atom
# Magnetization   0.000 μB/atom
# Energy   -2.70 eV per atom

[7]
# Na2AlAg2 (PBE-GGA, optimized geometry)
data_Na2AlAg2
_chemical_formula_sum 'Na4 Al2 Ag4'
_cell_length_a 6.8639
_cell_length_b 6.8639
_cell_length_c 4.9140
_cell_angle_alpha 90.00
_cell_angle_beta 90.00
_cell_angle_gamma 90.00
_space_group_name_H-M_alt 'P 1'
_space_group_IT_number 1
_space_group_name_Hall 'P 1'
loop_
_atom_site_label
_atom_site_fract_x
_atom_site_fract_y
_atom_site_fract_z
Na1 0.1703 0.6703 0.5000
Na2 0.6703 0.8297 0.5000
Na3 0.8297 0.3297 0.5000
Na4 0.3297 0.1703 0.5000
Al1 0.0000 0.0000 0.0000
Al2 0.5000 0.5000 0.0000
Ag1 0.3546 0.8546 0.0000
Ag2 0.8546 0.6454 0.0000
Ag3 0.6454 0.1454 0.0000
Ag4 0.1454 0.3546 0.0000
# Symmetry   No. 127
# V   23.15 Å³/atom
# Energy relative to the lowest polymorph listed for this composition   20 kJ/mol of formula units
# Magnetization   0.000 μB/atom

[8]
# NaAl2Ag (PBE-GGA, optimized geometry)
data_NaAl2Ag
_chemical_formula_sum 'Na1 Al2 Ag1'
_cell_length_a 2.9612
_cell_length_b 2.9612
_cell_length_c 8.9417
_cell_angle_alpha 90.00
_cell_angle_beta 90.00
_cell_angle_gamma 90.00
_space_group_name_H-M_alt 'P 1'
_space_group_IT_number 1
_space_group_name_Hall 'P 1'
loop_
_atom_site_label
_atom_site_fract_x
_atom_site_fract_y
_atom_site_fract_z
Na1 0.5000 0.5000 0.5000
Al1 0.0000 0.0000 0.7841
Al2 0.0000 0.0000 0.2159
Ag1 0.5000 0.5000 0.0000
# Symmetry   No. 123
# V   19.60 Å³/atom
# Magnetization   0.000 μB/atom
# Energy   -2.85 eV per atom

[9]
# Na2AlAg (PBE-GGA, optimized geometry)
data_Na2AlAg
_chemical_formula_sum 'Na2 Al1 Ag1'
_cell_length_a 4.8972
_cell_length_b 4.2516
_cell_length_c 4.2516
_cell_angle_alpha 90.00
_cell_angle_beta 90.00
_cell_angle_gamma 90.00
_space_group_name_H-M_alt 'P 1'
_space_group_IT_number 1
_space_group_name_Hall 'P 1'
loop_
_atom_site_label
_atom_site_fract_x
_atom_site_fract_y
_atom_site_fract_z
Na1 0.0000 0.0000 0.5000
Na2 0.0000 0.5000 0.0000
Al1 0.5000 0.0000 0.0000
Ag1 0.5000 0.5000 0.5000
# Symmetry   No. 123
# V   22.13 Å³/atom
# Magnetization   0.000 μB/atom
# Energy   -2.18 eV per atom

[10]
# NaAlAg4 (PBE-GGA, optimized geometry)
data_NaAlAg4
_chemical_formula_sum 'Na1 Al1 Ag4'
_cell_length_a 5.5633
_cell_length_b 5.5633
_cell_length_c 5.5633
_cell_angle_alpha 60.00
_cell_angle_beta 60.00
_cell_angle_gamma 60.00
_space_group_name_H-M_alt 'P 1'
_space_group_IT_number 1
_space_group_name_Hall 'P 1'
loop_
_atom_site_label
_atom_site_fract_x
_atom_site_fract_y
_atom_site_fract_z
Na1 0.2500 0.2500 0.2500
Al1 0.0000 0.0000 0.0000
Ag1 0.6251 0.6251 0.1248
Ag2 0.6251 0.1248 0.6251
Ag3 0.6251 0.6251 0.6251
Ag4 0.1248 0.6251 0.6251
# Symmetry   No. 216
# V   20.29 Å³/atom
# Energy relative to the lowest polymorph listed for this composition   43 kJ/mol of formula units
# Magnetization   0.000 μB/atom

[11]
# Na2Al3Ag (PBE-GGA, optimized geometry)
data_Na2Al3Ag
_chemical_formula_sum 'Na2 Al3 Ag1'
_cell_length_a 5.5375
_cell_length_b 5.5375
_cell_length_c 5.6486
_cell_angle_alpha 89.56
_cell_angle_beta 119.71
_cell_angle_gamma 120.15
_space_group_name_H-M_alt 'P 1'
_space_group_IT_number 1
_space_group_name_Hall 'P 1'
loop_
_atom_site_label
_atom_site_fract_x
_atom_site_fract_y
_atom_site_fract_z
Na1 0.7489 0.3747 0.1235
Na2 0.2511 0.6253 0.8765
Al1 0.5000 0.5000 0.5000
Al2 0.0000 0.0000 0.5000
Al3 0.5000 0.0000 0.5000
Ag1 0.0000 0.0000 0.0000
# Symmetry   No. 12
# V   20.53 Å³/atom
# Magnetization   0.000 μB/atom
# Energy   -2.79 eV per atom

[12]
# NaAl7Ag12 (PBE-GGA, optimized geometry)
data_NaAl7Ag12
_chemical_formula_sum 'Na1 Al7 Ag12'
_cell_length_a 8.2896
_cell_length_b 8.2896
_cell_length_c 8.2896
_cell_angle_alpha 109.47
_cell_angle_beta 109.47
_cell_angle_gamma 109.47
_space_group_name_H-M_alt 'P 1'
_space_group_IT_number 1
_space_group_name_Hall 'P 1'
loop_
_atom_site_label
_atom_site_fract_x
_atom_site_fract_y
_atom_site_fract_z
Na1 0.0000 0.0000 0.0000
Al1 0.5000 0.0000 0.5000
Al2 0.5000 0.5000 0.0000
Al3 0.0000 0.5000 0.5000
Al4 0.0000 0.0000 0.5000
Al5 0.5000 0.0000 0.0000
Al6 0.5000 0.5000 0.5000
Al7 0.0000 0.5000 0.0000
Ag1 0.2712 0.1530 0.4242
Ag2 0.2712 0.8470 0.1182
Ag3 0.7288 0.8470 0.5758
Ag4 0.7288 0.1530 0.8818
Ag5 0.4242 0.2712 0.1530
Ag6 0.8818 0.7288 0.1530
Ag7 0.5758 0.7288 0.8470
Ag8 0.1182 0.2712 0.8470
Ag9 0.8470 0.1182 0.2712
Ag10 0.1530 0.8818 0.7288
Ag11 0.1530 0.4242 0.2712
Ag12 0.8470 0.5758 0.7288
# Symmetry   No. 204
# V   21.93 Å³/atom
# Magnetization   0.000 μB/atom
# Energy   -2.80 eV per atom

Q: What is the magnetization in the seventh record?
A: 0.000 μB/atom

Q: What is the formula in the seventh record?
A: Na2AlAg2